[1]
# BeNiTe2 | Alexandria via LeMat-Bulk | PBE | optimized geometry
# N(E_F) = 1.44 states/eV per cell
# Density = 6.30 g cm⁻³
# Spin magnetization = 0.00 μB per cell
# Raw formation energy = -0.142 eV/atom
# Total energy = -16.358 eV per cell
data_BeNiTe2
_chemical_formula_sum 'Be1 Ni1 Te2'
_symmetry_space_group_name_H-M 'P 1'
_symmetry_Int_Tables_number 1
_symmetry_space_group_name_Hall 'P 1'
_cell_length_a 4.1768
_cell_length_b 4.1768
_cell_length_c 6.3919
_cell_angle_alpha 78.75
_cell_angle_beta 78.75
_cell_angle_gamma 51.45
loop_
_atom_site_label
_atom_site_type_symbol
_atom_site_fract_x
_atom_site_fract_y
_atom_site_fract_z
_atom_site_occupancy
Be1 Be 0.5258 0.5258 0.4020 1
Ni1 Ni 0.2560 0.2560 0.3346 1
Te1 Te 0.9908 0.9908 0.1276 1
Te2 Te 0.7274 0.7274 0.6358 1



[2]
# BeNiTe2 | Alexandria via LeMat-Bulk | PBE | optimized geometry
# N(E_F) = 2.48 states/eV per cell
# Density = 6.83 g cm⁻³
# Spin magnetization = 0.00 μB per cell
# Raw formation energy = 0.858 eV/atom
# Total energy = -12.359 eV per cell
data_BeNiTe2
_chemical_formula_sum 'Be1 Ni1 Te2'
_symmetry_space_group_name_H-M 'P 1'
_symmetry_Int_Tables_number 1
_symmetry_space_group_name_Hall 'P 1'
_cell_length_a 4.8065
_cell_length_b 4.8065
_cell_length_c 4.8065
_cell_angle_alpha 60.00
_cell_angle_beta 60.00
_cell_angle_gamma 60.00
loop_
_atom_site_label
_atom_site_type_symbol
_atom_site_fract_x
_atom_site_fract_y
_atom_site_fract_z
_atom_site_occupancy
Te1 Te 0.0000 0.0000 0.0000 1
Te2 Te 0.2500 0.2500 0.2500 1
Ni1 Ni 0.7500 0.7500 0.7500 1
Be1 Be 0.5000 0.5000 0.5000 1



[3]
# BeNiTe2 | Alexandria via LeMat-Bulk | PBE | optimized geometry
# N(E_F) = 1.77 states/eV per cell
# Density = 6.94 g cm⁻³
# Spin magnetization = 0.00 μB per cell
# Raw formation energy = -0.068 eV/atom
# Total energy = -16.065 eV per cell
data_BeNiTe2
_chemical_formula_sum 'Be1 Ni1 Te2'
_symmetry_space_group_name_H-M 'P 1'
_symmetry_Int_Tables_number 1
_symmetry_space_group_name_Hall 'P 1'
_cell_length_a 4.2732
_cell_length_b 4.3238
_cell_length_c 4.3271
_cell_angle_alpha 75.22
_cell_angle_beta 90.00
_cell_angle_gamma 90.00
loop_
_atom_site_label
_atom_site_type_symbol
_atom_site_fract_x
_atom_site_fract_y
_atom_site_fract_z
_atom_site_occupancy
Te1 Te 0.5000 0.3348 0.3342 1
Te2 Te 0.0000 0.9113 0.9107 1
Ni1 Ni 0.5000 0.7118 0.7112 1
Be1 Be 0.0000 0.5421 0.5439 1



[4]
# BeNiTe2 | Alexandria via LeMat-Bulk | PBE | optimized geometry
# N(E_F) = 2.09 states/eV per cell
# Density = 5.55 g cm⁻³
# Spin magnetization = 0.00 μB per cell
# Raw formation energy = 0.198 eV/atom
# Total energy = -15.000 eV per cell
data_BeNiTe2
_chemical_formula_sum 'Be1 Ni1 Te2'
_symmetry_space_group_name_H-M 'P 1'
_symmetry_Int_Tables_number 1
_symmetry_space_group_name_Hall 'P 1'
_cell_length_a 7.6525
_cell_length_b 7.6525
_cell_length_c 7.6525
_cell_angle_alpha 29.57
_cell_angle_beta 29.57
_cell_angle_gamma 29.57
loop_
_atom_site_label
_atom_site_type_symbol
_atom_site_fract_x
_atom_site_fract_y
_atom_site_fract_z
_atom_site_occupancy
Te1 Te 0.1046 0.1046 0.1046 1
Te2 Te 0.8954 0.8954 0.8954 1
Ni1 Ni 0.5000 0.5000 0.5000 1
Be1 Be 0.0000 0.0000 0.0000 1